The following is a DFT calculation (PBE-GGA) of a relaxed ErTmTl4 crystal.

abc: 4.6510 7.6278 7.6278
angles: 35.66 90.00 90.00
Closest atoms and distances in Å follow each position.
Element x y z (fractional)
Er: 0.0000 0.1553 0.1553  10 Tl 3.24-3.37, 2 Tm 3.61
Tl: 0.5000 0.0000 0.0000  2 Tm 3.24, 2 Er 3.24, 8 Tl 3.30-3.47
Tl: 0.5000 0.3237 0.3237  6 Tl 3.17-3.47, 4 Tm 3.31, 2 Er 3.37
Tl: 0.0000 0.5000 0.5000  2 Tm 3.25, 2 Er 3.25, 8 Tl 3.30-3.46
Tl: 0.5000 0.6764 0.6764  6 Tl 3.17-3.47, 4 Er 3.31, 2 Tm 3.37
Tm: 0.0000 0.8447 0.8447  10 Tl 3.24-3.37, 2 Er 3.61

* V: 157.8 Å³ per cell

=====

The following is a DFT calculation (PBE-GGA) of a relaxed ErPPbO crystal.

abc: 4.2430 4.2430 9.2932
angles: 90.00 90.00 90.00
Closest atoms and distances in Å follow each position.
Element x y z (fractional)
Er: 0.2500 0.2500 0.0925  4 O 2.29
Er: 0.7500 0.7500 0.9075  4 O 2.29
O: 0.7500 0.2500 0.0000  4 Er 2.29
O: 0.2500 0.7500 0.0000  4 Er 2.29
P: 0.7500 0.7500 0.2680  4 Pb 3.02, 4 O 3.27, 1 Er 3.35
P: 0.2500 0.2500 0.7320  4 Pb 3.02, 4 O 3.27, 1 Er 3.35
Pb: 0.7500 0.2500 0.5000  4 Pb 3.00, 4 P 3.02
Pb: 0.2500 0.7500 0.5000  4 Pb 3.00, 4 P 3.02

* V: 167.3 Å³ per cell
* energy relative to the lowest polymorph listed for this composition: 109 meV per atom

=====

The following is a DFT calculation (PBE-GGA) of a relaxed SrCd2Au crystal.

abc: 5.1947 5.1947 5.1947
angles: 60.00 60.00 60.00
Closest atoms and distances in Å follow each position.
Element x y z (fractional)
Au: 0.5000 0.5000 0.5000  4 Sr 3.18, 4 Cd 3.18
Cd: 0.0000 0.0000 0.0000  4 Cd 3.18, 4 Sr 3.18
Cd: 0.2500 0.2500 0.2500  4 Au 3.18, 4 Cd 3.18
Sr: 0.7500 0.7500 0.7500  4 Au 3.18, 4 Cd 3.18

* V: 99.1 Å³ per cell

=====

The following is a DFT calculation (PBE-GGA) of a relaxed TbNdMg2Au4 crystal.

abc: 4.9570 4.9570 7.0061
angles: 90.00 90.00 90.00
Closest atoms and distances in Å follow each position.
Element x y z (fractional)
Au: 0.5000 0.0000 0.2592  2 Tb 3.00, 4 Mg 3.00-3.07, 2 Nd 3.07
Au: 0.0000 0.5000 0.2592  2 Tb 3.00, 4 Mg 3.00-3.07, 2 Nd 3.07
Au: 0.5000 0.0000 0.7408  4 Mg 3.00-3.07, 2 Tb 3.00, 2 Nd 3.07
Au: 0.0000 0.5000 0.7408  2 Tb 3.00, 4 Mg 3.00-3.07, 2 Nd 3.07
Mg: 0.5000 0.5000 0.0000  8 Au 3.07
Mg: 0.0000 0.0000 0.5000  8 Au 3.00
Nd: 0.0000 0.0000 0.0000  8 Au 3.07
Tb: 0.5000 0.5000 0.5000  8 Au 3.00

* V: 172.2 Å³ per cell

=====

The following is a DFT calculation (PBE-GGA) of a relaxed Nd3Tc5N12 crystal.

abc: 11.0959 11.0959 11.0959
angles: 109.47 109.47 109.47
Closest atoms and distances in Å follow each position.
Element x y z (fractional)
N: 0.3169 0.8989 0.0122  2 Tc 1.84-2.04
N: 0.1953 0.1133 0.0122  2 Tc 1.84-2.04
N: 0.8867 0.3989 0.0820  2 Tc 1.84-2.04
N: 0.6953 0.6831 0.0820  2 Tc 1.84-2.04
N: 0.6133 0.4180 0.1011  2 Tc 1.84-2.04
N: 0.9878 0.6831 0.1011  2 Tc 1.84-2.04
N: 0.6011 0.9180 0.1133  2 Tc 1.84-2.04
N: 0.0122 0.1953 0.1133  2 Tc 1.84-2.04
N: 0.1953 0.5820 0.1831  2 Tc 1.84-2.04
N: 0.4878 0.6011 0.1831  2 Tc 1.84-2.04
N: 0.5820 0.1831 0.1953  2 Tc 1.84-2.04
N: 0.1133 0.0122 0.1953  2 Tc 1.84-2.04
N: 0.3169 0.9180 0.3047  2 Tc 1.84-2.04
N: 0.4878 0.3867 0.3047  2 Tc 1.84-2.04
N: 0.9180 0.3047 0.3169  2 Tc 1.84-2.04
N: 0.8989 0.0122 0.3169  2 Tc 1.84-2.04
N: 0.3047 0.4878 0.3867  2 Tc 1.84-2.04
N: 0.5820 0.8989 0.3867  2 Tc 1.84-2.04
N: 0.0820 0.8867 0.3989  2 Tc 1.84-2.04
N: 0.8169 0.5122 0.3989  2 Tc 1.84-2.04
N: 0.1011 0.6133 0.4180  2 Tc 1.84-2.04
N: 0.8169 0.8047 0.4180  2 Tc 1.84-2.04
N: 0.6011 0.1831 0.4878  2 Tc 1.84-2.04
N: 0.3867 0.3047 0.4878  2 Tc 1.84-2.04
N: 0.6133 0.6953 0.5122  2 Tc 1.84-2.04
N: 0.3989 0.8169 0.5122  2 Tc 1.84-2.04
N: 0.1831 0.1953 0.5820  2 Tc 1.84-2.04
N: 0.8989 0.3867 0.5820  2 Tc 1.84-2.04
N: 0.9180 0.1133 0.6011  2 Tc 1.84-2.04
N: 0.1831 0.4878 0.6011  2 Tc 1.84-2.04
N: 0.4180 0.1011 0.6133  2 Tc 1.84-2.04
N: 0.6953 0.5122 0.6133  2 Tc 1.84-2.04
N: 0.0820 0.6953 0.6831  2 Tc 1.84-2.04
N: 0.1011 0.9878 0.6831  2 Tc 1.84-2.04
N: 0.5122 0.6133 0.6953  2 Tc 1.84-2.04
N: 0.6831 0.0820 0.6953  2 Tc 1.84-2.04
N: 0.8867 0.9878 0.8047  2 Tc 1.84-2.04
N: 0.4180 0.8169 0.8047  2 Tc 1.84-2.04
N: 0.5122 0.3989 0.8169  2 Tc 1.84-2.04
N: 0.8047 0.4180 0.8169  2 Tc 1.84-2.04
N: 0.3989 0.0820 0.8867  2 Tc 1.84-2.04
N: 0.9878 0.8047 0.8867  2 Tc 1.84-2.04
N: 0.0122 0.3169 0.8989  2 Tc 1.84-2.04
N: 0.3867 0.5820 0.8989  2 Tc 1.84-2.04
N: 0.3047 0.3169 0.9180  2 Tc 1.84-2.04
N: 0.1133 0.6011 0.9180  2 Tc 1.84-2.04
N: 0.6831 0.1011 0.9878  2 Tc 1.84-2.04
N: 0.8047 0.8867 0.9878  2 Tc 1.84-2.04
Nd: 0.3750 0.7500 0.1250  8 N 2.50-2.65
Nd: 0.2500 0.3750 0.1250  8 N 2.50-2.65
Nd: 0.3750 0.1250 0.2500  8 N 2.50-2.65
Nd: 0.8750 0.6250 0.2500  8 N 2.50-2.65
Nd: 0.7500 0.1250 0.3750  8 N 2.50-2.65
Nd: 0.1250 0.2500 0.3750  8 N 2.50-2.65
Nd: 0.8750 0.7500 0.6250  8 N 2.50-2.65
Nd: 0.2500 0.8750 0.6250  8 N 2.50-2.65
Nd: 0.1250 0.3750 0.7500  8 N 2.50-2.65
Nd: 0.6250 0.8750 0.7500  8 N 2.50-2.65
Nd: 0.6250 0.2500 0.8750  8 N 2.50-2.65
Nd: 0.7500 0.6250 0.8750  8 N 2.50-2.65
Tc: 0.0000 0.0000 0.0000  6 N 2.04
Tc: 0.5000 0.0000 0.0000  6 N 2.04
Tc: 0.0000 0.5000 0.0000  6 N 2.04
Tc: 0.5000 0.5000 0.0000  6 N 2.04
Tc: 0.8750 0.2500 0.1250  4 N 1.84
Tc: 0.7500 0.8750 0.1250  4 N 1.84
Tc: 0.6250 0.3750 0.2500  4 N 1.84
Tc: 0.1250 0.8750 0.2500  4 N 1.84
Tc: 0.2500 0.6250 0.3750  4 N 1.84
Tc: 0.6250 0.7500 0.3750  4 N 1.84
Tc: 0.0000 0.0000 0.5000  6 N 2.04
Tc: 0.5000 0.0000 0.5000  6 N 2.04
Tc: 0.0000 0.5000 0.5000  6 N 2.04
Tc: 0.5000 0.5000 0.5000  6 N 2.04
Tc: 0.3750 0.2500 0.6250  4 N 1.84
Tc: 0.7500 0.3750 0.6250  4 N 1.84
Tc: 0.8750 0.1250 0.7500  4 N 1.84
Tc: 0.3750 0.6250 0.7500  4 N 1.84
Tc: 0.2500 0.1250 0.8750  4 N 1.84
Tc: 0.1250 0.7500 0.8750  4 N 1.84

* V: 1051.6 Å³ per cell

=====

Calculated total DFT energy (no corrections) (eV/atom), listed in the same order as above: -3.31, -5.98, -2.06, -3.95, -8.73